# 1
# PrPIr2

A relaxed structure of PrPIr2 (PBE, Alexandria).

For the formation energy, the calculation gives -225 kJ/mol of formula units.

The space group is Cmmm (No. 65) and the conventional cell measures 5.552, 7.325 and 4.181 Å, with angles of 90.00, 90.00 and 90.00 degrees. Symmetry generates all atoms from Pr at (0.000, 0.000, 0.000), P at (0.000, 0.500, 0.500) and Ir at (0.250, 0.250, 0.500).

# 2
# PrP3Ir6

A relaxed structure of PrP3Ir6 (PBE, Alexandria).

For the formation energy, the calculation gives -471 kJ/mol of formula units.

The space group is P1 (No. 1) and the conventional cell measures 5.523, 5.552 and 6.185 Å, with angles of 75.76, 89.00 and 60.39 degrees. Symmetry generates all atoms from Pr at (0.000, 0.000, 0.000), P at (0.085, 0.836, 0.490), P at (0.353, 0.301, 0.086), P at (0.677, 0.647, 0.095), Ir at (0.065, 0.286, 0.391), Ir at (0.460, 0.074, 0.791), Ir at (0.473, 0.576, 0.790), Ir at (0.483, 0.448, 0.377), Ir at (0.642, 0.871, 0.386) and Ir at (0.966, 0.573, 0.803).

# 3
# Pr2PIr

A relaxed structure of Pr2PIr (PBE, Alexandria).

For the formation energy, the calculation gives -264 kJ/mol of formula units.

The space group is Fm-3m (No. 225) and the conventional cell measures 7.214, 7.214 and 7.214 Å, with angles of 90.00, 90.00 and 90.00 degrees. Symmetry generates all atoms from Pr at (0.250, 0.250, 0.250), P at (0.000, 0.000, 0.000) and Ir at (0.000, 0.000, 0.500).

# 4
# PrP4Ir5

A relaxed structure of PrP4Ir5 (PBE, Alexandria).

For the formation energy, the calculation gives -484 kJ/mol of formula units.

The space group is Pmmn (No. 59, origin choice 2) and the conventional cell measures 6.943, 10.544 and 4.579 Å, with angles of 90.00, 90.00 and 90.00 degrees. Symmetry generates all atoms from Pr at (0.250, 0.250, 0.025), P at (0.025, 0.750, 0.503), P at (0.250, 0.532, 0.772), Ir at (0.054, 0.565, 0.249) and Ir at (0.250, 0.750, 0.902).

# 5
# PrP2Ir

A relaxed structure of PrP2Ir (PBE, Alexandria).

For the formation energy, the calculation gives -155 kJ/mol of formula units.

The space group is R-3m (No. 166, hexagonal axes) and the conventional cell measures 5.0668, 5.0668 and 10.3291 Å, with angles of 90.00, 90.00 and 120.00 degrees. Symmetry generates all atoms from Pr at (0.0000, 0.0000, 0.0000), P at (0.0000, 0.0000, 0.2757) and Ir at (0.0000, 0.0000, 0.5000).

# 6
# PrPIr

A relaxed structure of PrPIr (PBE, Alexandria).

For the formation energy, the calculation gives -325 kJ/mol of formula units.

The space group is I4_1md (No. 109) and the conventional cell measures 4.144, 4.144 and 14.257 Å, with angles of 90.00, 90.00 and 90.00 degrees. Symmetry generates all atoms from Pr at (0.000, 0.000, 0.000), P at (0.000, 0.000, 0.579) and Ir at (0.000, 0.000, 0.412).

Number 1: calculated density 10.9 Mg/m³, total energy -7.56 eV per atom, spin magnetization 0.0 μB/f.u.. Number 2: calculated density 14.5 Mg/m³, total energy -7.91 eV per atom, spin magnetization 0.0 μB/f.u.. Number 3: calculated density 8.9 Mg/m³, total energy -6.64 eV per atom, spin magnetization 0.0 μB/f.u.. Number 4: calculated density 12.1 Mg/m³, total energy -7.57 eV per atom, spin magnetization 0.0 μB/f.u.. Number 5: calculated density 8.6 Mg/m³, total energy -6.52 eV per atom, spin magnetization 0.0 μB/f.u.. Number 6: calculated density 9.9 Mg/m³, total energy -7.47 eV per atom, spin magnetization 0.0 μB/f.u..